This record from OQMD via LeMat-Bulk describes a relaxed Al2ZnIn crystal. The functional is PBE-GGA.

Geometry as POSCAR:
```
Al2ZnIn
1.0
0.0000 3.3946 3.3946
3.3946 0.0000 3.3946
3.3946 3.3946 0.0000
Al Zn In
2 1 1
direct
0.0000 0.0000 0.0000
0.2500 0.2500 0.2500
0.7500 0.7500 0.7500
0.5000 0.5000 0.5000
```

Summary:
Uncorrected energy: -2.67 eV per atom
Calculated volume: 19.6 A^3/atom